Entry from Alexandria via LeMat-Bulk: an optimized crystal structure of Pm4DyS5 (PBE).

formation energy without anion corrections = -2019 meV per atom
DFT total energy = -128.866 eV for the cell shown

Unit cell a=4.0039 b=5.6666 c=20.0736 alpha=90.00 beta=90.00 gamma=90.00
Space group Immm (No. 71)
Asymmetric unit:
Pm: 0.0000 0.0000 0.1004 [4 per cell]
Pm: 0.0000 0.0000 0.3014 [4 per cell]
Dy: 0.0000 0.0000 0.5000 [2 per cell]
S: 0.0000 0.5000 0.0959 [4 per cell]
S: 0.0000 0.5000 0.2993 [4 per cell]
S: 0.0000 0.5000 0.5000 [2 per cell]